# 1
Density functional theory data (PBE-GGA) for a relaxed structure of Cs3Tc2PbO8.

Structure (extended XYZ):
```
14
Lattice="6.4690 0.0000 0.0000 -3.2345 5.6023 0.0000 0.0000 0.0000 8.4934" Properties=species:S:1:pos:R:3 pbc="T T T"
O 1.4821 4.5906 2.6767
O 0.0000 3.7349 0.2299
O 3.2345 1.8674 8.2634
O 3.2345 3.5789 5.8166
O 0.0000 2.0235 2.6767
O 1.7524 1.0117 5.8166
O -1.4821 4.5906 2.6767
O 4.7166 1.0117 5.8166
Tc 0.0000 3.7349 2.0013
Tc 3.2345 1.8674 6.4921
Pb 0.0000 0.0000 4.2467
Cs 0.0000 0.0000 0.0000
Cs 0.0000 3.7349 5.7773
Cs 3.2345 1.8674 2.7161
```

Results
The space-group type is P-3m1.


# 2
Density functional theory data (PBE-GGA) for a relaxed structure of Cs2Tc2PbO7.

Structure (extended XYZ):
```
12
Lattice="4.0356 -0.0025 0.0108 0.0025 4.0356 0.0108 1.9888 1.9864 11.9255" Properties=species:S:1:pos:R:3 pbc="T T T"
O 2.0190 2.0165 0.0108
O 2.0088 2.0064 3.8407
O 2.0172 4.0302 1.8981
O 4.0096 1.9892 10.0490
O 4.0180 4.0131 8.1063
O 1.9941 4.0072 10.0490
O 4.0327 2.0123 1.8981
Tc 2.0150 2.0125 1.9916
Tc 4.0118 4.0069 9.9555
Cs 4.0261 4.0212 4.4041
Cs 2.0006 1.9982 7.5430
Pb 0.0000 0.0000 0.0000
```

Results
The space-group type is I4/mmm.


# 3
Density functional theory data (PBE-GGA) for a relaxed structure of CsTcPbO4.

Structure (extended XYZ):
```
14
Lattice="-2.2826 0.9353 -7.5009 -5.6425 -0.7860 1.6191 -0.6787 7.5799 1.3143" Properties=species:S:1:pos:R:3 pbc="T T T"
Pb -2.0991 4.4585 0.2650
Pb -6.5047 3.2708 -4.8326
O -3.2758 6.4383 -2.8746
O -5.0032 5.0828 -4.9484
O -3.6006 2.6464 0.3808
O -2.6049 5.4169 -5.6366
O -5.9989 2.3124 1.0690
O -5.3280 1.2909 -1.6930
O -3.0139 3.3594 -3.4566
O -5.5899 4.3699 -1.1110
Cs -6.3872 6.8309 -2.6952
Cs -2.2165 0.8983 -1.8724
Tc -3.3709 5.0072 -3.9006
Tc -5.2329 2.7220 -0.6670
```

Results
The space-group type is P2_1/m.


# 4
Density functional theory data (PBE-GGA) for a relaxed structure of Cs2TcPbO6.

Structure (extended XYZ):
```
10
Lattice="5.8957 0.0000 0.0000 0.0000 6.6583 0.0000 0.0000 -3.3292 5.7663" Properties=species:S:1:pos:R:3 pbc="T T T"
O 1.1684 5.3336 0.7648
O 1.1684 3.3292 4.2367
O 4.7273 0.0000 1.5296
O 4.7273 -2.0045 5.0015
O 1.1684 1.3247 0.7648
O 4.7273 2.0045 5.0015
Cs 0.9166 0.0000 3.8442
Cs 4.9791 3.3292 1.9221
Tc 0.0000 0.0000 0.0000
Pb 2.9479 0.0000 0.0000
```

Results
The space-group type is P-3m1.


# 5
Density functional theory data (PBE-GGA) for a relaxed structure of CsTc2PbO8.

Structure (extended XYZ):
```
12
Lattice="6.2672 0.0000 0.0000 3.1336 5.4362 0.0217 3.1336 1.9356 7.1063" Properties=species:S:1:pos:R:3 pbc="T T T"
Cs 6.2672 3.6859 3.5640
O 1.6700 0.9570 1.7292
O 6.2672 3.7528 6.5737
O 7.9372 6.4148 5.3988
O 9.4008 3.8724 5.3873
O 6.2672 3.6190 0.5543
O 3.1336 3.4994 1.7408
O 10.8643 6.4148 5.3988
O 4.5971 0.9570 1.7292
Tc 9.4007 5.5623 5.9153
Tc 3.1336 1.8095 1.2127
Pb 0.0000 0.0000 0.0000
```

Results
The space-group type is C2/m.


# 6
Density functional theory data (PBE-GGA) for a relaxed structure of Cs2TePbO4.

Structure (extended XYZ):
```
16
Lattice="-0.4345 0.7324 -7.4509 -5.7139 -4.8414 -0.3928 -1.6061 6.6761 4.0707" Properties=species:S:1:pos:R:3 pbc="T T T"
O -3.0589 2.2778 -0.2460
O -1.9801 0.2137 -6.0762
O -3.4079 2.8921 -3.2056
O -4.6957 0.2893 -3.5269
O -5.7744 2.3535 2.3031
O -4.3466 -0.3250 -0.5674
O -5.1634 -2.9388 -6.4260
O -2.5911 5.5059 2.6531
Pb -4.0945 1.6497 -5.6120
Pb -2.8570 -2.4207 -0.1964
Te -2.0406 7.4084 -3.3802
Te -3.8773 1.2836 -1.8865
Cs -0.8031 3.3380 2.0353
Cs -0.2173 0.3662 -3.7255
Cs -1.0203 3.7042 -1.6901
Cs -3.0742 -2.0545 -3.9219
```

Results
The space-group type is C2/c.


# 7
Density functional theory data (PBE-GGA) for a relaxed structure of CsTe2PbO8.

Structure (extended XYZ):
```
12
Lattice="6.1305 0.0000 0.0000 3.0653 5.3770 0.1422 3.0653 2.0802 7.3579" Properties=species:S:1:pos:R:3 pbc="T T T"
O 1.5926 0.8022 1.6071
O 10.6684 6.6550 5.8930
O 6.1305 4.1352 6.6356
O 4.5379 0.8022 1.6071
O 3.0653 3.5360 1.8273
O 6.1305 3.3220 0.8645
O 9.1958 3.9212 5.6728
O 7.7232 6.6550 5.8930
Te 3.0653 1.8275 1.0766
Te 9.1958 5.6297 6.4235
Pb 0.0000 0.0000 0.0000
Cs 6.1305 3.7286 3.7501
```

Results
The space-group type is C2/m.


# 8
Density functional theory data (PBE-GGA) for a relaxed structure of CsTePbO6.

Structure (extended XYZ):
```
9
Lattice="5.6026 0.0000 0.0000 2.8014 4.8520 0.0000 0.0001 -0.0003 6.7542" Properties=species:S:1:pos:R:3 pbc="T T T"
O 3.7478 2.8960 2.2262
O 2.1670 0.1582 4.5278
O 1.2206 1.7975 2.2263
O 3.4355 0.1581 2.2263
O 1.8546 2.8961 4.5278
O 4.3818 1.7976 4.5278
Te 2.8012 1.6173 3.3770
Cs 5.6025 -0.0002 6.7541
Pb 5.6025 3.2346 3.3770
```

Results
The space-group type is P312.


E_form (uncorrected) for every record listed, in sequence, given in eV per atom: -1.514; -1.388; -1.361; -1.257; -1.493; -0.957; -0.940; -0.961.
Electronic total energy for every record listed, in sequence, given in eV/atom: -6.276; -6.460; -6.327; -5.810; -6.907; -4.506; -5.149; -5.123.